(1)
The following is a PBE-GGA calculation of an optimized crystal structure of CsIn4HgPb2, from the Alexandria database.

## Properties
The calculation puts the total magnetic moment at 0.0 μB/cell. The calculation puts the total DFT energy (no corrections) at -2.47 eV per atom. Its symmetry is R-3m. The value obtained for the formation energy from the elements is -0.0333 eV/atom.

Lattice parameters (Å, degrees): 5.4506 5.4506 11.1995 75.92 75.92 60.00
Atoms (fractional coordinates):
In1 0.4085 0.4085 0.7744
Cs1 0.0000 0.0000 0.0000
In2 0.8648 0.8648 0.4055
Hg1 0.5000 0.5000 0.5000
In3 0.1352 0.1352 0.5945
In4 0.5915 0.5915 0.2256
Pb1 0.7634 0.7634 0.7099
Pb2 0.2366 0.2366 0.2901



(2)
The following is a PBE-GGA calculation of an optimized crystal structure of Ga12Se5I3, from the Alexandria database.

## Properties
For the energy relative to the elements, uncorrected, the calculation gives -6 kJ/mol of atoms. The calculation puts the total magnetic moment at 0.0 μB/cell. The calculation puts the total DFT energy (no corrections) at -2.98 eV per atom. Its symmetry is Ia-3d.

Lattice parameters (Å, degrees): 15.2517 15.2517 15.2517 109.47 109.47 109.47
Atoms (fractional coordinates):
I1 0.8750 0.1250 0.2500
Ga1 0.8645 0.5799 0.9070
Ga2 0.9574 0.3645 0.2846
I2 0.1250 0.8750 0.7500
Ga3 0.2846 0.4201 0.8271
Ga4 0.0930 0.1729 0.4574
Ga5 0.4070 0.0426 0.3271
Ga6 0.0426 0.6355 0.7154
Ga7 0.9070 0.8271 0.5426
Ga8 0.0799 0.9070 0.3645
Ga9 0.1355 0.7154 0.5426
Ga10 0.7846 0.4574 0.3645
Ga11 0.6355 0.5930 0.9201
I3 0.3750 0.7500 0.6250
Ga12 0.8271 0.9201 0.2846
Ga13 0.6729 0.2154 0.5799
Ga14 0.7846 0.3271 0.9201
Ga15 0.0799 0.1729 0.2154
I4 0.8750 0.7500 0.1250
I5 0.2500 0.6250 0.8750
Ga16 0.3645 0.4070 0.0799
Se1 0.2500 0.3750 0.6250
Ga17 0.6355 0.0426 0.2154
Ga18 0.4201 0.1355 0.5930
Se2 0.5000 0.5000 0.0000
Ga19 0.5799 0.7154 0.6729
Se3 0.2500 0.8750 0.1250
Ga20 0.3271 0.5426 0.4070
Ga21 0.9070 0.0799 0.8645
I6 0.3750 0.6250 0.2500
I7 0.6250 0.2500 0.3750
Se4 0.6250 0.8750 0.2500
Ga22 0.5799 0.8645 0.4070
Ga23 0.9201 0.0930 0.6355
Ga24 0.7154 0.5799 0.1729
Ga25 0.3271 0.7846 0.4201
Se5 0.5000 0.0000 0.0000
Ga26 0.2154 0.5426 0.6355
Ga27 0.8645 0.2846 0.4574
Ga28 0.2846 0.8645 0.9574
Ga29 0.7154 0.1355 0.0426
Ga30 0.4070 0.3645 0.5799
Ga31 0.9574 0.5930 0.1729
Ga32 0.0930 0.9201 0.1355
Ga33 0.5930 0.6355 0.4201
Se6 0.1250 0.3750 0.2500
Se7 0.8750 0.6250 0.7500
Se8 0.0000 0.0000 0.0000
Se9 0.0000 0.5000 0.0000
Se10 0.5000 0.5000 0.5000
Se11 0.7500 0.6250 0.3750
Ga34 0.2154 0.6729 0.0799
Se12 0.1250 0.7500 0.3750
I8 0.1250 0.2500 0.8750
I9 0.7500 0.8750 0.6250
Ga35 0.4574 0.7846 0.8645
Ga36 0.5426 0.2154 0.1355
Se13 0.6250 0.7500 0.8750
I10 0.7500 0.3750 0.1250
Se14 0.0000 0.0000 0.5000
Se15 0.5000 0.0000 0.5000
Se16 0.8750 0.2500 0.6250
Se17 0.7500 0.1250 0.8750
Ga37 0.1729 0.0930 0.9574
Se18 0.3750 0.1250 0.7500
Ga38 0.5930 0.9574 0.6729
Ga39 0.1355 0.4201 0.0930
Se19 0.3750 0.2500 0.1250
Ga40 0.1729 0.0799 0.7154
Se20 0.0000 0.5000 0.5000
Ga41 0.4201 0.2846 0.3271
Ga42 0.3645 0.9574 0.7846
I11 0.6250 0.3750 0.7500
Ga43 0.5426 0.3271 0.9070
Ga44 0.0426 0.4070 0.8271
Ga45 0.9201 0.8271 0.7846
Ga46 0.6729 0.4574 0.5930
Ga47 0.4574 0.6729 0.0930
I12 0.2500 0.1250 0.3750
Ga48 0.8271 0.9070 0.0426



(3)
The following is a PBE-GGA calculation of an optimized crystal structure of Tb5Y2Er3, from the Alexandria database.

## Properties
The calculation puts the total magnetic moment at 0.0 μB/cell. The calculation puts the total DFT energy (no corrections) at -4.77 eV per atom. For the energy relative to the lowest polymorph listed for this composition, the calculation gives 0.000 eV per formula unit. Its symmetry is C2/c. The value obtained for the formation energy from the elements is 0.2033 eV/atom.

Lattice parameters (Å, degrees): 9.5612 9.5674 11.1100 126.57 126.56 67.42
Atoms (fractional coordinates):
Tb1 0.7225 0.4725 0.9450
Er1 0.9890 0.2211 0.7587
Er2 0.0110 0.7789 0.2413
Tb2 0.3968 0.1485 0.7595
Tb3 0.1373 0.3890 0.2405
Tb4 0.6032 0.8515 0.2405
Y1 0.4676 0.7355 0.7494
Er3 0.2696 0.5376 0.7587
Er4 0.7741 0.0241 0.0483
Tb5 0.2775 0.5275 0.0550
Er5 0.2259 0.9759 0.9517
Er6 0.7304 0.4624 0.2413
Y2 0.5324 0.2645 0.2506
Y3 0.2182 0.9861 0.2506
Tb6 0.4746 0.7246 0.4493
Tb7 0.0187 0.7687 0.5374
Tb8 0.9813 0.2313 0.4626
Y4 0.7818 0.0139 0.7494
Tb9 0.8627 0.6110 0.7595
Tb10 0.5254 0.2754 0.5507



(4)
The following is a PBE-GGA calculation of an optimized crystal structure of KAl2Hg, from the Alexandria database.

## Properties
The calculation puts the total magnetic moment at 0.0 μB/cell. The calculation puts the total DFT energy (no corrections) at -1.86 eV per atom. Its symmetry is Cmmm. The value obtained for the formation energy from the elements is 0.3569 eV/atom.

Lattice parameters (Å, degrees): 6.3188 6.3188 2.9721 90.00 90.00 121.73
Atoms (fractional coordinates):
K1 0.0000 0.5000 0.5000
Al1 0.5000 0.5000 0.0000
Al2 0.0000 0.0000 0.0000
Hg1 0.5000 0.0000 0.5000



Which formula does entry 2 have? Ga12Se5I3